Record 1
Computed, not measured: crystalline Al3BI at its relaxed geometry at the GGA-PBE level of DFT.

a = 5.841 Å, b = 5.841 Å, c = 5.841 Å
α = 90.00°, β = 90.00°, γ = 90.00°
Last column: magnetic moment on the atom in μB.
Sites, in units of the cell vectors:
I 0.000 0.000 0.000  0.00
B 0.500 0.500 0.500  0.19
Al 0.000 0.500 0.000  0.01
Al 0.000 0.000 0.500  0.01
Al 0.500 0.000 0.000  0.01

Calculated values
- space-group type = No. 221
- magnetic moment (μB per formula unit) = 0.8
- DOS(E_F) (states/eV/cell) = 6.63
- ΔE to the lowest computed polymorph (eV/atom) = 1.6002
- raw formation energy (eV/atom) = 2.053

---

Record 2
Computed, not measured: crystalline Al3BI at its relaxed geometry at the GGA-PBE level of DFT.

a = 4.540 Å, b = 4.540 Å, c = 4.540 Å
α = 90.00°, β = 90.00°, γ = 90.00°
Sites, in units of the cell vectors:
I 0.500 0.500 0.500
B 0.000 0.000 0.000
Al 0.000 0.500 0.000
Al 0.000 0.000 0.500
Al 0.500 0.000 0.000

Calculated values
- space-group type = No. 221
- magnetic moment (μB per formula unit) = 0.0
- DOS(E_F) (states/eV/cell) = 2.52
- ΔE to the lowest computed polymorph (eV/atom) = 0.0000
- raw formation energy (eV/atom) = 0.453

---

Record 3
Computed, not measured: crystalline AlB3I at its relaxed geometry at the GGA-PBE level of DFT.

a = 4.386 Å, b = 4.386 Å, c = 4.386 Å
α = 90.00°, β = 90.00°, γ = 90.00°
Sites, in units of the cell vectors:
I 0.500 0.500 0.500
B 0.000 0.500 0.000
B 0.000 0.000 0.500
B 0.500 0.000 0.000
Al 0.000 0.000 0.000

Calculated values
- space-group type = No. 221
- magnetic moment (μB per formula unit) = 0.0
- DOS(E_F) (states/eV/cell) = 2.91
- ΔE to the lowest computed polymorph (eV/atom) = 0.0000
- raw formation energy (eV/atom) = 1.773